Density functional theory data (PBE-GGA) for crystalline Ce4ErTh15 at its relaxed geometry.

Calculated values
- E_form: 0.01 eV per atom
- Magnetic moment: 0.000 μB per formula unit
- Calculated total energy: -139.36 eV/f.u.
- Symmetry: No. 123

Lattice parameters (Å, degrees): 4.9932 4.9932 24.8566 90.00 90.00 90.00
Fractional positions:
1 Ce 0.0000 0.0000 0.2013
2 Ce 0.0000 0.0000 0.4005
3 Ce 0.0000 0.0000 0.5995
4 Ce 0.0000 0.0000 0.7987
5 Er 0.0000 0.0000 0.0000
6 Th 0.5000 0.5000 0.0000
7 Th 0.5000 0.5000 0.2024
8 Th 0.5000 0.5000 0.4007
9 Th 0.5000 0.5000 0.5993
10 Th 0.5000 0.5000 0.7976
11 Th 0.5000 0.0000 0.1019
12 Th 0.5000 0.0000 0.3012
13 Th 0.5000 0.0000 0.5000
14 Th 0.5000 0.0000 0.6988
15 Th 0.5000 0.0000 0.8981
16 Th 0.0000 0.5000 0.1019
17 Th 0.0000 0.5000 0.3012
18 Th 0.0000 0.5000 0.5000
19 Th 0.0000 0.5000 0.6988
20 Th 0.0000 0.5000 0.8981

=====

Density functional theory data (PBE-GGA) for crystalline Pr6MnGe2S14 at its relaxed geometry.

Calculated values
- ΔE_f (raw): -1.47 eV/atom
- Magnetic moment: 0.996 μB per formula unit
- Calculated total energy: -138.74 eV/f.u.
- Symmetry: No. 143

Lattice parameters (Å, degrees): 10.2183 10.2183 5.8479 90.00 90.00 120.00
Each line ends with the local moment (μB).
Fractional positions:
1 Pr 0.2274 0.3553 0.2549  -0.01
2 Pr 0.6447 0.8720 0.2549  -0.01
3 Pr 0.1280 0.7726 0.2549  -0.01
4 Pr 0.7742 0.6463 0.7487  -0.01
5 Pr 0.3537 0.1280 0.7487  -0.01
6 Pr 0.8720 0.2258 0.7487  -0.01
7 Mn 0.0000 0.0000 0.4778  1.20
8 Ge 0.3333 0.6667 0.8309  0.00
9 Ge 0.6667 0.3333 0.3348  0.00
10 S 0.1034 0.5176 0.9818  0.00
11 S 0.4824 0.5857 0.9818  0.00
12 S 0.4143 0.8966 0.9818  0.00
13 S 0.8964 0.4784 0.4868  0.00
14 S 0.5216 0.4180 0.4868  0.00
15 S 0.5820 0.1036 0.4868  0.00
16 S 0.3333 0.6667 0.4551  0.00
17 S 0.6667 0.3333 0.9594  0.00
18 S 0.1476 0.2338 0.7074  -0.01
19 S 0.7662 0.9138 0.7074  -0.01
20 S 0.0862 0.8524 0.7074  -0.01
21 S 0.8477 0.7643 0.2603  -0.01
22 S 0.2357 0.0834 0.2603  -0.01
23 S 0.9166 0.1523 0.2603  -0.01

=====

Density functional theory data (PBE-GGA) for crystalline NbCr3Ag at its relaxed geometry.

Calculated values
- E_form: 1.80 eV per atom
- Magnetic moment: 9.638 μB per formula unit
- Calculated total energy: -32.78 eV/f.u.
- Energy relative to the lowest polymorph listed for this composition: 0.00 eV/f.u.
- Symmetry: No. 221

Lattice parameters (Å, degrees): 4.7984 4.7984 4.7984 90.00 90.00 90.00
Each line ends with the local moment (μB).
Fractional positions:
1 Cr 0.0000 0.5000 0.0000  3.61
2 Cr 0.0000 0.0000 0.5000  3.67
3 Cr 0.5000 0.0000 0.0000  3.39
4 Nb 0.5000 0.5000 0.5000  -1.90
5 Ag 0.0000 0.0000 0.0000  0.23

=====

Density functional theory data (PBE-GGA) for crystalline GdTmCl2 at its relaxed geometry.

Calculated values
- ΔE_f (raw): -1.27 eV/atom
- Magnetic moment: 6.969 μB per formula unit
- Calculated total energy: -27.34 eV/f.u.
- Symmetry: No. 166

Lattice parameters (Å, degrees): 3.5802 3.5802 9.6253 79.28 79.28 60.00
Each line ends with the local moment (μB).
Fractional positions:
1 Gd 0.5000 0.5000 0.5000  6.92
2 Tm 0.0000 0.0000 0.0000  -0.02
3 Cl 0.0947 0.0947 0.7159  -0.01
4 Cl 0.9053 0.9053 0.2841  -0.01